[1]
HoErTm4, relaxed, DFT GGA-PBE; E above lowest polymorph = 0 meV per atom; DFT total energy = -0.16257 hartree per atom; SG = Pmmm, No. 47; energy relative to the elements = 81 meV per atom
1.0
3.451 0.000 0.000
0.000 5.505 0.000
0.000 0.000 9.525
Ho Er Tm
1 1 4
Cartesian
0.000 0.000 0.000
0.000 2.752 4.763
1.725 0.000 3.178
1.725 0.000 6.347
1.725 2.752 1.590
1.725 2.752 7.935

***

[2]
Zn2CrIr, relaxed, DFT GGA-PBE; E above lowest polymorph = 98 meV per atom; DFT total energy = -0.19303 hartree per atom; SG = P2/m, No. 10; energy relative to the elements = 6 meV per atom
1.0
4.503 0.000 0.000
0.000 2.876 0.000
-1.263 0.000 4.389
Zn Cr Ir
2 1 1
Cartesian
0.000 0.000 0.000
-0.631 1.438 2.194
1.620 0.000 2.194
2.252 1.438 0.000

***

[3]
NaInSn, relaxed, DFT GGA-PBE; DFT total energy = -0.10386 hartree per atom; SG = Ima2, No. 46; energy relative to the elements = -139 meV per atom
1.0
-2.643 4.180 3.917
2.643 -4.180 3.917
2.643 4.180 -3.917
Na In Sn
2 2 2
Cartesian
1.322 1.652 0.000
1.322 2.528 3.917
1.322 -0.664 2.438
1.322 4.844 -1.478
1.322 -0.713 5.443
1.322 4.894 1.526

***

[4]
La2Ga2Ir, relaxed, DFT GGA-PBE; E above lowest polymorph = 161 meV per atom; DFT total energy = -0.20217 hartree per atom; SG = P4/mbm, No. 127; energy relative to the elements = -547 meV per atom
1.0
6.964 0.000 0.000
0.000 6.964 0.000
0.000 0.000 4.693
La Ga Ir
4 4 2
Cartesian
1.183 2.299 0.000
2.299 5.781 0.000
4.665 1.183 0.000
5.781 4.665 0.000
0.957 4.439 2.347
2.525 0.957 2.347
4.439 6.007 2.347
6.007 2.525 2.347
0.000 0.000 2.347
3.482 3.482 2.347

***

Question: Among the records above, which one has the highest energy relative to the elements?
Answer: HoErTm4

***

Please write out number 2 again, unchanged.
Zn2CrIr, relaxed, DFT GGA-PBE; E above lowest polymorph = 98 meV per atom; DFT total energy = -0.19303 hartree per atom; SG = P2/m, No. 10; energy relative to the elements = 6 meV per atom
1.0
4.503 0.000 0.000
0.000 2.876 0.000
-1.263 0.000 4.389
Zn Cr Ir
2 1 1
Cartesian
0.000 0.000 0.000
-0.631 1.438 2.194
1.620 0.000 2.194
2.252 1.438 0.000

***

Question: Among the records above, which one has the lowest energy relative to the elements?
Answer: La2Ga2Ir

***

Question: energy relative to the elements of number 1 (HoErTm4)?
Answer: 81 meV per atom